Entry 1:
# PBE-GGA SnI2F, optimized geometry
data_SnI2F
_chemical_formula_sum 'Sn1 I2 F1'
_symmetry_space_group_name_H-M 'P 1'
_symmetry_Int_Tables_number 1
_cell_length_a 5.315
_cell_length_b 5.315
_cell_length_c 5.315
_cell_angle_alpha 60.00
_cell_angle_beta 60.00
_cell_angle_gamma 60.00
loop_
_symmetry_equiv_pos_as_xyz
'x,y,z'
loop_
_atom_site_label
_atom_site_type_symbol
_atom_site_fract_x
_atom_site_fract_y
_atom_site_fract_z
Sn1 Sn 0.000 0.000 0.000
I1 I 0.250 0.250 0.250
I2 I 0.750 0.750 0.750
F1 F 0.500 0.500 0.500
# space-group type = Fm-3m (225)
# N(E_F) = 1.804 states/eV/atom
# ρ = 6.1 g/cm³
# total energy = -2.666 eV/atom
# ΔE to the lowest computed polymorph = 0.0 meV per atom

Entry 2:
# PBE-GGA CeHoSnHg, optimized geometry
data_CeHoSnHg
_chemical_formula_sum 'Ce1 Ho1 Sn1 Hg1'
_symmetry_space_group_name_H-M 'P 1'
_symmetry_Int_Tables_number 1
_cell_length_a 5.354
_cell_length_b 5.354
_cell_length_c 5.354
_cell_angle_alpha 60.00
_cell_angle_beta 60.00
_cell_angle_gamma 60.00
loop_
_symmetry_equiv_pos_as_xyz
'x,y,z'
loop_
_atom_site_label
_atom_site_type_symbol
_atom_site_fract_x
_atom_site_fract_y
_atom_site_fract_z
Ce1 Ce 0.000 0.000 0.000
Ho1 Ho 0.500 0.500 0.500
Sn1 Sn 0.750 0.750 0.750
Hg1 Hg 0.250 0.250 0.250
# space-group type = F-43m (216)
# N(E_F) = 2.330 states/eV/atom
# ΔE_f = -192 kJ/mol of formula units
# ρ = 9.6 g/cm³
# total energy = -4.202 eV/atom

Entry 3:
# PBE-GGA TlAuBr2, optimized geometry
data_TlAuBr2
_chemical_formula_sum 'Tl1 Au1 Br2'
_symmetry_space_group_name_H-M 'P 1'
_symmetry_Int_Tables_number 1
_cell_length_a 5.317
_cell_length_b 5.317
_cell_length_c 5.317
_cell_angle_alpha 60.00
_cell_angle_beta 60.00
_cell_angle_gamma 60.00
loop_
_symmetry_equiv_pos_as_xyz
'x,y,z'
loop_
_atom_site_label
_atom_site_type_symbol
_atom_site_fract_x
_atom_site_fract_y
_atom_site_fract_z
Tl1 Tl 0.000 0.000 0.000
Au1 Au 0.250 0.250 0.250
Br1 Br 0.500 0.500 0.500
Br2 Br 0.750 0.750 0.750
# space-group type = F-43m (216)
# N(E_F) = 0.065 states/eV/atom
# ρ = 8.8 g/cm³
# total energy = -2.180 eV/atom
# ΔE to the lowest computed polymorph = 548.6 meV per atom

Entry 4:
# PBE-GGA CrBN2, optimized geometry
data_CrBN2
_chemical_formula_sum 'Cr2 B2 N4'
_symmetry_space_group_name_H-M 'P 1'
_symmetry_Int_Tables_number 1
_cell_length_a 3.126
_cell_length_b 3.126
_cell_length_c 9.569
_cell_angle_alpha 90.00
_cell_angle_beta 90.00
_cell_angle_gamma 120.00
loop_
_symmetry_equiv_pos_as_xyz
'x,y,z'
loop_
_atom_site_label
_atom_site_type_symbol
_atom_site_fract_x
_atom_site_fract_y
_atom_site_fract_z
Cr1 Cr 0.000 0.000 0.000
Cr2 Cr 0.000 0.000 0.500
B1 B 0.333 0.667 0.250
B2 B 0.667 0.333 0.750
N1 N 0.333 0.667 0.110
N2 N 0.333 0.667 0.390
N3 N 0.667 0.333 0.610
N4 N 0.667 0.333 0.890
# space-group type = P6_3/mmc (194)
# ρ = 3.7 g/cm³
# total energy = -8.719 eV/atom
# ΔE to the lowest computed polymorph = 0.2 meV per atom

Entry 5:
# PBE-GGA Rb4Pr3SiO8, optimized geometry
data_Rb4Pr3SiO8
_chemical_formula_sum 'Rb4 Pr3 Si1 O8'
_symmetry_space_group_name_H-M 'P 1'
_symmetry_Int_Tables_number 1
_cell_length_a 7.041
_cell_length_b 7.041
_cell_length_c 7.769
_cell_angle_alpha 117.03
_cell_angle_beta 117.03
_cell_angle_gamma 60.01
loop_
_symmetry_equiv_pos_as_xyz
'x,y,z'
loop_
_atom_site_label
_atom_site_type_symbol
_atom_site_fract_x
_atom_site_fract_y
_atom_site_fract_z
Rb1 Rb 0.000 0.000 0.000
Rb2 Rb 0.000 0.500 0.000
Rb3 Rb 0.500 0.000 0.000
Rb4 Rb 0.500 0.500 0.000
Pr1 Pr 0.000 0.000 0.500
Pr2 Pr 0.000 0.500 0.500
Pr3 Pr 0.500 0.000 0.500
Si1 Si 0.500 0.500 0.500
O1 O 0.232 0.232 0.694
O2 O 0.285 0.686 0.658
O3 O 0.312 0.312 0.341
O4 O 0.314 0.715 0.342
O5 O 0.686 0.285 0.658
O6 O 0.688 0.688 0.659
O7 O 0.715 0.314 0.342
O8 O 0.768 0.768 0.306
# space-group type = C2/m (12)
# N(E_F) = 0.098 states/eV/atom
# ρ = 5.4 g/cm³
# total energy = -6.132 eV/atom

Entry 6:
# PBE-GGA AcTbS2, optimized geometry
data_AcTbS2
_chemical_formula_sum 'Ac1 Tb1 S2'
_symmetry_space_group_name_H-M 'P 1'
_symmetry_Int_Tables_number 1
_cell_length_a 7.573
_cell_length_b 7.573
_cell_length_c 7.573
_cell_angle_alpha 30.76
_cell_angle_beta 30.76
_cell_angle_gamma 30.76
loop_
_symmetry_equiv_pos_as_xyz
'x,y,z'
loop_
_atom_site_label
_atom_site_type_symbol
_atom_site_fract_x
_atom_site_fract_y
_atom_site_fract_z
Ac1 Ac 0.000 0.000 0.000
Tb1 Tb 0.177 0.177 0.177
S1 S 0.578 0.578 0.578
S2 S 0.765 0.765 0.765
# space-group type = R3m (160)
# N(E_F) = 0.285 states/eV/atom
# ρ = 7.4 g/cm³
# total energy = -6.181 eV/atom
# ΔE to the lowest computed polymorph = 64.8 meV per atom

Entry 7:
# PBE-GGA Sm4AlCd2Ag, optimized geometry
data_Sm4AlCd2Ag
_chemical_formula_sum 'Sm4 Al1 Cd2 Ag1'
_symmetry_space_group_name_H-M 'P 1'
_symmetry_Int_Tables_number 1
_cell_length_a 9.236
_cell_length_b 9.236
_cell_length_c 9.236
_cell_angle_alpha 33.37
_cell_angle_beta 33.37
_cell_angle_gamma 33.37
loop_
_symmetry_equiv_pos_as_xyz
'x,y,z'
loop_
_atom_site_label
_atom_site_type_symbol
_atom_site_fract_x
_atom_site_fract_y
_atom_site_fract_z
Sm1 Sm 0.124 0.124 0.124
Sm2 Sm 0.374 0.374 0.374
Sm3 Sm 0.626 0.626 0.626
Sm4 Sm 0.876 0.876 0.876
Al1 Al 0.000 0.000 0.000
Cd1 Cd 0.251 0.251 0.251
Cd2 Cd 0.749 0.749 0.749
Ag1 Ag 0.500 0.500 0.500
# space-group type = R-3m (166)
# N(E_F) = 1.026 states/eV/atom
# ΔE_f = -240 kJ/mol of formula units
# ρ = 7.5 g/cm³
# total energy = -3.724 eV/atom

Entry 8:
# PBE-GGA Pm6NdDy2, optimized geometry
data_Pm6NdDy2
_chemical_formula_sum 'Pm6 Nd1 Dy2'
_symmetry_space_group_name_H-M 'P 1'
_symmetry_Int_Tables_number 1
_cell_length_a 7.573
_cell_length_b 7.573
_cell_length_c 6.207
_cell_angle_alpha 90.01
_cell_angle_beta 90.01
_cell_angle_gamma 60.01
loop_
_symmetry_equiv_pos_as_xyz
'x,y,z'
loop_
_atom_site_label
_atom_site_type_symbol
_atom_site_fract_x
_atom_site_fract_y
_atom_site_fract_z
Pm1 Pm 0.124 0.687 0.791
Pm2 Pm 0.312 0.312 0.210
Pm3 Pm 0.313 0.876 0.209
Pm4 Pm 0.687 0.124 0.791
Pm5 Pm 0.688 0.688 0.790
Pm6 Pm 0.876 0.313 0.209
Nd1 Nd 0.500 0.500 0.500
Dy1 Dy 0.166 0.166 0.716
Dy2 Dy 0.834 0.834 0.284
# space-group type = C2/m (12)
# N(E_F) = 1.588 states/eV/atom
# ΔE_f = 175 kJ/mol of formula units
# ρ = 7.2 g/cm³
# total energy = -4.518 eV/atom
# ΔE to the lowest computed polymorph = 186.1 meV per atom